# 1
Pm2Be4CoSi3: optimized geometry, GGA-PBE.

The structure in POSCAR format:
```
Pm2Be4CoSi3
1.0
3.8589 0.0000 0.0000
0.0000 3.8589 0.0000
0.0000 0.0000 9.8159
Pm Be Co Si
2 4 1 3
direct
0.0000 0.5000 0.2495
0.5000 0.0000 0.7505
0.0000 0.0000 0.5000
0.0000 0.5000 0.8742
0.5000 0.0000 0.1258
0.5000 0.5000 0.5000
0.5000 0.5000 0.0000
0.0000 0.0000 0.0000
0.0000 0.5000 0.6324
0.5000 0.0000 0.3676
```

Its space group is P-4m2 (115). For the total energy, the calculation gives -51.8 eV/cell. The calculated volume is 146 Å³/cell.


# 2
PmTmBeCo: optimized geometry, GGA-PBE.

The structure in POSCAR format:
```
PmTmBeCo
1.0
0.0000 3.3938 3.3938
3.3938 0.0000 3.3938
3.3938 3.3938 0.0000
Pm Tm Be Co
1 1 1 1
direct
0.0000 0.0000 0.0000
0.5000 0.5000 0.5000
0.7500 0.7500 0.7500
0.2500 0.2500 0.2500
```

Its space group is F-43m (216). The calculation puts the formation energy at 0.018 eV per atom. The calculated volume is 78 Å³/cell.


# 3
PrBeCo: optimized geometry, GGA-PBE.

The structure in POSCAR format:
```
PrBeCo
1.0
3.8776 0.0000 0.0000
-1.9388 3.3581 0.0000
0.0000 0.0000 4.1101
Pr Be Co
1 1 1
direct
0.0000 0.0000 0.0000
0.3333 0.6667 0.5000
0.6667 0.3333 0.5000
```

Its space group is P-6m2 (187). The calculation puts the formation energy at -0.024 eV per atom. The calculated volume is 54 Å³/cell.


no.,N(E_F) (states/eV/f.u.)
1,5.237
2,2.694
3,1.525